(1)
# AlTc2Br

AlTc2Br after structural relaxation (PBE-GGA, Alexandria via LeMat-Bulk).

a = 8.4446 Å, b = 8.4446 Å, c = 8.4446 Å
α = 20.79°, β = 20.79°, γ = 20.79°
Fractional coordinates of all 4 atoms:
Br 0.2457 0.2457 0.2457
Tc 0.0080 0.0080 0.0080
Tc 0.7503 0.7503 0.7503
Al 0.4960 0.4960 0.4960

Summary:
Magnetization = 0.0 Bohr magnetons per cell
Mass density = 7.6 g cm⁻³
Energy above the lowest structure with this stoichiometry = 82.7 kJ/mol of formula units
Uncorrected formation energy = 221 meV per atom



(2)
# AlTc2Br

AlTc2Br after structural relaxation (PBE-GGA, Alexandria via LeMat-Bulk).

a = 4.2744 Å, b = 3.4296 Å, c = 5.3538 Å
α = 96.45°, β = 90.00°, γ = 90.00°
Fractional coordinates of all 4 atoms:
Al 0.5000 0.2500 0.2500
Br 0.5000 0.7500 0.7500
Tc 0.0000 0.9078 0.0798
Tc 0.0000 0.5922 0.4202

Summary:
Magnetization = 0.0 Bohr magnetons per cell
Mass density = 6.4 g cm⁻³
Energy above the lowest structure with this stoichiometry = 203.2 kJ/mol of formula units
Uncorrected formation energy = 533 meV per atom



(3)
# AlTc2Br

AlTc2Br after structural relaxation (PBE-GGA, Alexandria via LeMat-Bulk).

a = 3.0876 Å, b = 3.0876 Å, c = 6.4247 Å
α = 90.00°, β = 90.00°, γ = 90.00°
Fractional coordinates of all 4 atoms:
Tc 0.0000 0.0000 0.0179
Tc 0.0000 0.0000 0.4821
Br 0.5000 0.5000 0.7500
Al 0.5000 0.5000 0.2500

Summary:
Magnetization = 0.0 Bohr magnetons per cell
Mass density = 8.2 g cm⁻³
Energy above the lowest structure with this stoichiometry = 159.5 kJ/mol of formula units
Uncorrected formation energy = 420 meV per atom



Question: Which of these has the highest uncorrected formation energy?
Answer: number 2